# 1
SrZnBr | the Alexandria database | GGA-PBEsol | optimized geometry; M_tot = 0.000 μB/f.u.; crystal system = tetragonal; E_form (uncorrected) = -0.702 eV per atom; space-group type = I4mm, No. 107; distance to the lowest polymorph of the same formula = 0 meV per atom
1.0
3.8649 0.0386 0.0006
-0.0376 3.8649 0.0006
-1.9127 -1.9508 6.0549
Sr Br Zn
1 1 1
Cartesian
1.9142 1.9524 1.9322
0.0009 0.0009 0.3571
-0.0005 -0.0006 3.7667


# 2
Sr4ZnBr | the Alexandria database | GGA-PBEsol | optimized geometry; M_tot = 0.002 μB/f.u.; crystal system = cubic; E_form (uncorrected) = 0.256 eV per atom; space-group type = F-43m, No. 216
1.0
7.3163 0.0000 0.0000
3.6582 6.3361 0.0000
3.6582 2.1120 5.9738
Sr Zn Br
4 1 1
Cartesian
9.1376 3.1726 2.2434
7.3163 4.2241 5.2175
7.3163 6.3271 2.2434
5.4951 3.1726 2.2434
10.9745 6.3361 4.4803
0.0000 0.0000 0.0000


# 3
SrZr2Br | the Alexandria database | GGA-PBEsol | optimized geometry; M_tot = 0.010 μB/f.u.; crystal system = orthorhombic; E_form (uncorrected) = 0.343 eV per atom; space-group type = Cmmm, No. 65; distance to the lowest polymorph of the same formula = 472 meV per atom
1.0
3.3125 0.0000 0.0000
0.0000 5.7160 0.0000
0.0000 -2.8580 5.7524
Zr Sr Br
2 1 1
Cartesian
0.0000 -1.4290 2.8762
0.0000 1.4290 2.8762
1.6563 2.8580 0.0000
1.6563 0.0000 0.0000


# 4
SrZr2Br | the Alexandria database | GGA-PBEsol | optimized geometry; M_tot = 0.001 μB/f.u.; crystal system = orthorhombic; E_form (uncorrected) = 0.168 eV per atom; space-group type = Cmmm, No. 65; distance to the lowest polymorph of the same formula = 297 meV per atom
1.0
-3.1334 -0.0898 -1.0603
0.6459 -0.7255 3.1633
-1.1759 10.3021 2.6029
Zr Sr Br
2 1 1
Cartesian
-0.8382 7.3431 1.8553
-0.3377 2.9589 0.7476
-1.2438 -0.4076 1.0515
-1.8317 4.7434 2.3530


# 5
SrZrBr2 | the Alexandria database | GGA-PBEsol | optimized geometry; M_tot = 0.000 μB/f.u.; crystal system = orthorhombic; E_form (uncorrected) = -0.771 eV per atom; space-group type = Imm2, No. 44; distance to the lowest polymorph of the same formula = 0 meV per atom
1.0
3.8090 0.0000 0.0000
0.0000 3.7938 0.0000
-1.9045 -1.8969 6.7358
Sr Zr Br
1 1 2
Cartesian
0.0000 0.0000 6.1427
1.9045 0.0000 2.7860
0.0000 1.8969 3.7899
0.0000 0.0000 0.7530


# 6
SrZr2Br | the Alexandria database | GGA-PBEsol | optimized geometry; M_tot = 0.000 μB/f.u.; crystal system = orthorhombic; E_form (uncorrected) = -0.129 eV per atom; space-group type = Immm, No. 71; distance to the lowest polymorph of the same formula = 0 meV per atom
1.0
-2.1800 0.9171 2.2205
-3.3559 -3.3059 -1.9293
4.8340 -3.1288 3.6683
Zr Br Sr
2 1 1
Cartesian
0.8949 -1.8726 1.6520
-1.5968 -3.6450 2.3075
-1.0900 0.4585 1.1102
-1.6780 -1.6529 -0.9647


# 7
SrZr2Br | the Alexandria database | GGA-PBEsol | optimized geometry; M_tot = 0.002 μB/f.u.; crystal system = orthorhombic; E_form (uncorrected) = 0.306 eV per atom; space-group type = Pmmm, No. 47; distance to the lowest polymorph of the same formula = 435 meV per atom
1.0
3.3336 0.0000 0.0000
0.0000 5.6641 0.0000
0.0000 0.0000 5.9754
Zr Sr Br
2 1 1
Cartesian
0.0000 4.3380 0.0000
0.0000 1.3261 0.0000
1.6668 0.0000 2.9877
1.6668 2.8320 2.9877


# 8
SrZrBr2 | the Alexandria database | GGA-PBEsol | optimized geometry; M_tot = 0.002 μB/f.u.; crystal system = orthorhombic; E_form (uncorrected) = -0.689 eV per atom; space-group type = Cmmm, No. 65; distance to the lowest polymorph of the same formula = 82 meV per atom
1.0
3.4434 0.0000 0.0000
-1.7217 3.2681 0.0000
0.0000 0.0000 9.5357
Sr Br Zr
1 2 1
Cartesian
1.7217 0.0000 4.7679
0.0000 0.0000 2.1747
0.0000 0.0000 7.3611
1.7217 0.0000 0.0000